Record 1
Below is WAu2Se after structural relaxation, with properties calculated at the GGA-PBE level.

- V: 72.0 Å³ per cell
- Formation energy without anion corrections: 0.45 eV per atom
- E_tot: -21.20 eV/cell

Cell: 4.540 2.755 5.921 Å, 76.61 90.00 90.00°
Atoms (fractional coordinates):
Au1 0.000 0.939 0.996
Au2 0.500 0.318 0.237
Se1 0.000 0.674 0.530
W1 0.500 0.569 0.737



Record 2
Below is WAu2Se after structural relaxation, with properties calculated at the GGA-PBE level.

- V: 72.5 Å³ per cell
- Formation energy without anion corrections: 0.45 eV per atom
- E_tot: -21.21 eV/cell

Cell: 9.707 9.707 9.707 Å, 17.54 17.54 17.54°
Atoms (fractional coordinates):
Au1 0.004 0.004 0.004
Au2 0.496 0.496 0.496
Se1 0.250 0.250 0.250
W1 0.750 0.750 0.750



Record 3
Below is WAuSe2 after structural relaxation, with properties calculated at the GGA-PBE level.

- V: 81.4 Å³ per cell
- Formation energy without anion corrections: -0.04 eV per atom
- E above lowest polymorph: 0.000 eV per formula unit
- E_tot: -23.34 eV/cell

Cell: 8.792 8.792 8.792 Å, 21.70 21.70 21.70°
Atoms (fractional coordinates):
Au1 0.000 0.000 0.000
Se1 0.900 0.900 0.900
Se2 0.100 0.100 0.100
W1 0.500 0.500 0.500



Record 4
Below is WAuSe2 after structural relaxation, with properties calculated at the GGA-PBE level.

- V: 73.3 Å³ per cell
- Formation energy without anion corrections: 0.81 eV per atom
- E above lowest polymorph: 3.376 eV per formula unit
- E_tot: -19.97 eV/cell

Cell: 5.551 5.551 5.551 Å, 138.84 138.84 59.62°
Site moments in Bohr magnetons follow the coordinates.
Atoms (fractional coordinates):
Au1 0.750 0.250 0.500  0.02
Se1 0.000 0.000 0.000  -0.02
Se2 0.250 0.750 0.500  -0.05
W1 0.500 0.500 0.000  1.42



What did the third record say?
Below is WAuSe2 after structural relaxation, with properties calculated at the GGA-PBE level.

- V: 81.4 Å³ per cell
- Formation energy without anion corrections: -0.04 eV per atom
- E above lowest polymorph: 0.000 eV per formula unit
- E_tot: -23.34 eV/cell

Cell: 8.792 8.792 8.792 Å, 21.70 21.70 21.70°
Atoms (fractional coordinates):
Au1 0.000 0.000 0.000
Se1 0.900 0.900 0.900
Se2 0.100 0.100 0.100
W1 0.500 0.500 0.500



Among the records above, which one has the highest formation energy without anion corrections? number 4



V of number 3 (WAuSe2)? 81.4 Å³ per cell



Which of these has the highest V? number 3